This record from Alexandria describes crystalline Ac6BO12 at its relaxed geometry. The functional is PBE.

As for the uncorrected formation energy: -2589 meV/atom. As for the spin magnetization: 3.04 Bohr magnetons per cell. The total DFT energy (no corrections) comes out at -0.2708 hartree per atom. Its density is 8.0 g/cm3.

Unit cell a=6.9871 b=6.9871 c=6.9871 alpha=99.21 beta=99.21 gamma=99.21
Last column: nearest neighbours and their distance in Å.
Positions (direct):
Ac: 0.0932 0.6405 0.7917  5 O 2.41-2.66
Ac: 0.2083 0.9068 0.3595  5 O 2.41-2.66
Ac: 0.3595 0.2083 0.9068  5 O 2.41-2.66
Ac: 0.6405 0.7917 0.0932  5 O 2.41-2.66
Ac: 0.7917 0.0932 0.6405  5 O 2.41-2.66
Ac: 0.9068 0.3595 0.2083  5 O 2.41-2.66
B: 0.5000 0.5000 0.5000  6 O 1.75
O: 0.0510 0.3226 0.9024  4 Ac 2.41-2.50
O: 0.0976 0.9490 0.6774  4 Ac 2.41-2.50
O: 0.2532 0.5232 0.4421  1 B 1.75
O: 0.3226 0.9024 0.0510  4 Ac 2.41-2.50
O: 0.4421 0.2532 0.5232  1 B 1.75
O: 0.4768 0.5579 0.7468  1 B 1.75
O: 0.5232 0.4421 0.2532  1 B 1.75
O: 0.5579 0.7468 0.4768  1 B 1.75
O: 0.6774 0.0976 0.9490  4 Ac 2.41-2.50
O: 0.7468 0.4768 0.5579  1 B 1.75
O: 0.9024 0.0510 0.3226  4 Ac 2.41-2.50
O: 0.9490 0.6774 0.0976  4 Ac 2.41-2.50

---

This record from Alexandria describes crystalline AcBO4 at its relaxed geometry. The functional is PBE.

As for the uncorrected formation energy: -2266 meV/atom. As for the spin magnetization: 0.00 Bohr magnetons per cell. The total DFT energy (no corrections) comes out at -0.2708 hartree per atom. Its density is 6.7 g/cm3.

Unit cell a=7.1889 b=7.1889 c=5.4068 alpha=90.00 beta=90.00 gamma=147.60
Last column: nearest neighbours and their distance in Å.
Positions (direct):
Ac: 0.1355 0.8645 0.7500  5 O 2.53-2.57
Ac: 0.8645 0.1355 0.2500  5 O 2.53-2.57
B: 0.3701 0.6299 0.7500  3 O 1.37-1.44
B: 0.6299 0.3701 0.2500  3 O 1.37-1.44
O: 0.0479 0.9521 0.2500  2 O 2.03
O: 0.3222 0.6778 0.5283  1 B 1.37
O: 0.3222 0.6778 0.9717  1 B 1.37
O: 0.4742 0.5258 0.7500  1 B 1.44
O: 0.5258 0.4742 0.2500  1 B 1.44
O: 0.6778 0.3222 0.0283  1 B 1.37
O: 0.6778 0.3222 0.4717  1 B 1.37
O: 0.9521 0.0479 0.7500  2 O 2.03

---

This record from Alexandria describes crystalline Ac2B2O7 at its relaxed geometry. The functional is PBE.

As for the uncorrected formation energy: -2532 meV/atom. As for the spin magnetization: 0.00 Bohr magnetons per cell. The total DFT energy (no corrections) comes out at -0.2811 hartree per atom. Its density is 6.6 g/cm3.

Unit cell a=6.0059 b=6.0059 c=4.5831 alpha=106.56 beta=106.56 gamma=97.88
Last column: nearest neighbours and their distance in Å.
Positions (direct):
Ac: 0.2297 0.7703 0.0000  6 O 2.49-2.66
Ac: 0.7703 0.2297 0.0000  6 O 2.49-2.66
B: 0.2087 0.2087 0.5894  3 O 1.38-1.41
B: 0.7913 0.7913 0.4106  3 O 1.38-1.41
O: 0.0609 0.3318 0.7162  1 B 1.38
O: 0.2177 0.2177 0.2893  1 B 1.41
O: 0.3318 0.0609 0.7162  1 B 1.38
O: 0.5000 0.5000 0.5000  2 O 2.01
O: 0.6682 0.9391 0.2838  1 B 1.38
O: 0.7823 0.7823 0.7107  1 B 1.41
O: 0.9391 0.6682 0.2838  1 B 1.38

---

This record from Alexandria describes crystalline Ac3BO6 at its relaxed geometry. The functional is PBE.

As for the uncorrected formation energy: -3095 meV/atom. As for the spin magnetization: 0.00 Bohr magnetons per cell. The total DFT energy (no corrections) comes out at -0.2929 hartree per atom. Its density is 8.1 g/cm3.

Unit cell a=7.7428 b=7.7428 c=5.5753 alpha=90.00 beta=90.00 gamma=103.53
Last column: nearest neighbours and their distance in Å.
Positions (direct):
Ac: 0.1092 0.8908 0.5000  6 O 2.45-2.71
Ac: 0.1951 0.4214 0.4681  5 O 2.40-2.65
Ac: 0.4214 0.1951 0.9681  5 O 2.40-2.65
Ac: 0.5786 0.8049 0.4681  5 O 2.40-2.65
Ac: 0.8049 0.5786 0.9681  5 O 2.40-2.65
Ac: 0.8908 0.1092 0.0000  6 O 2.45-2.71
B: 0.3064 0.6936 0.9162  4 O 1.51-1.55
B: 0.6936 0.3064 0.4162  4 O 1.51-1.55
O: 0.1186 0.6226 0.8070  1 B 1.55
O: 0.1507 0.1671 0.7284  4 Ac 2.40-2.47
O: 0.1671 0.1507 0.2284  4 Ac 2.40-2.47
O: 0.2980 0.7020 0.1864  1 B 1.51
O: 0.3774 0.8814 0.8070  1 B 1.55
O: 0.4234 0.5766 0.8191  1 B 1.52
O: 0.5766 0.4234 0.3191  1 B 1.52
O: 0.6226 0.1186 0.3070  1 B 1.55
O: 0.7020 0.2980 0.6864  1 B 1.51
O: 0.8329 0.8493 0.7284  4 Ac 2.40-2.47
O: 0.8493 0.8329 0.2284  4 Ac 2.40-2.47
O: 0.8814 0.3774 0.3070  1 B 1.55

---

This record from Alexandria describes crystalline AcB2OsO8 at its relaxed geometry. The functional is PBE.

As for the uncorrected formation energy: -2039 meV/atom. As for the spin magnetization: 0.42 Bohr magnetons per cell. The total DFT energy (no corrections) comes out at -0.2843 hartree per atom. Its density is 6.5 g/cm3.

Unit cell a=4.6321 b=4.6321 c=7.4041 alpha=94.06 beta=94.06 gamma=65.22
Last column: nearest neighbours and their distance in Å.
Positions (direct):
Ac: 0.0000 0.0000 0.0000  6 O 2.60-2.63
B: 0.3698 0.3698 0.7173  4 O 1.40-1.51
B: 0.6302 0.6302 0.2827  4 O 1.40-1.51
Os: 0.0000 0.0000 0.5000  6 O 1.82-1.93
O: 0.2313 0.2313 0.5612  1 B 1.51
O: 0.2365 0.7178 0.6903  1 B 1.49
O: 0.2822 0.7635 0.3097  1 B 1.49
O: 0.3084 0.3084 0.8901  1 B 1.40
O: 0.6916 0.6916 0.1099  1 B 1.40
O: 0.7178 0.2365 0.6903  1 B 1.49
O: 0.7635 0.2822 0.3097  1 B 1.49
O: 0.7687 0.7687 0.4388  1 B 1.51

---

This record from Alexandria describes crystalline AcB2PO8 at its relaxed geometry. The functional is PBE.

As for the uncorrected formation energy: -2149 meV/atom. As for the spin magnetization: 0.97 Bohr magnetons per cell. The total DFT energy (no corrections) comes out at -0.2705 hartree per atom. Its density is 5.3 g/cm3.

Unit cell a=4.4134 b=4.4134 c=7.2450 alpha=93.03 beta=93.03 gamma=64.43
Last column: nearest neighbours and their distance in Å.
Positions (direct):
Ac: 0.0000 0.0000 0.0000  10 O 2.57-2.83
B: 0.3657 0.3657 0.6923  4 O 1.43-1.50
B: 0.6343 0.6343 0.3077  4 O 1.43-1.50
P: 0.0000 0.0000 0.5000  6 O 1.69-1.70
O: 0.2258 0.2258 0.5393  1 B 1.47
O: 0.2293 0.7376 0.6691  1 B 1.50
O: 0.2624 0.7707 0.3309  1 B 1.50
O: 0.3166 0.3166 0.8799  1 B 1.43
O: 0.6834 0.6834 0.1201  1 B 1.43
O: 0.7376 0.2293 0.6691  1 B 1.50
O: 0.7707 0.2624 0.3309  1 B 1.50
O: 0.7742 0.7742 0.4607  1 B 1.47

---

This record from Alexandria describes crystalline AcBPbO5 at its relaxed geometry. The functional is PBE.

As for the uncorrected formation energy: -2064 meV/atom. As for the spin magnetization: 0.00 Bohr magnetons per cell. The total DFT energy (no corrections) comes out at -0.2563 hartree per atom. Its density is 8.1 g/cm3.

Unit cell a=5.7645 b=5.7645 c=7.2143 alpha=101.28 beta=101.28 gamma=107.94
Last column: nearest neighbours and their distance in Å.
Positions (direct):
Ac: 0.1397 0.8603 0.7500  5 O 2.42-2.59
Ac: 0.8603 0.1397 0.2500  5 O 2.42-2.59
B: 0.1926 0.8074 0.2500  4 O 1.51-1.55
B: 0.8074 0.1926 0.7500  4 O 1.51-1.55
Pb: 0.5000 0.5000 0.0000  2 O 2.03
Pb: 0.5000 0.5000 0.5000  2 O 2.03
O: 0.0561 0.2409 0.9066  1 B 1.55
O: 0.1711 0.6048 0.3573  1 B 1.51
O: 0.2409 0.0561 0.4066  1 B 1.55
O: 0.3952 0.8289 0.1427  1 B 1.51
O: 0.3992 0.6008 0.7500  2 Pb 2.03
O: 0.6008 0.3992 0.2500  2 Pb 2.03
O: 0.6048 0.1711 0.8573  1 B 1.51
O: 0.7591 0.9439 0.5934  1 B 1.55
O: 0.8289 0.3952 0.6427  1 B 1.51
O: 0.9439 0.7591 0.0934  1 B 1.55

---

This record from Alexandria describes crystalline AcB4Pb3O12 at its relaxed geometry. The functional is PBE.

As for the uncorrected formation energy: -2021 meV/atom. As for the spin magnetization: 0.00 Bohr magnetons per cell. The total DFT energy (no corrections) comes out at -0.2607 hartree per atom. Its density is 6.4 g/cm3.

Unit cell a=6.7409 b=6.7409 c=6.7409 alpha=101.87 beta=101.87 gamma=101.87
Last column: nearest neighbours and their distance in Å.
Positions (direct):
Ac: 0.0000 0.0000 0.0000  6 O 2.55
B: 0.0300 0.5000 0.9700  3 O 1.38-1.40
B: 0.5000 0.5000 0.5000  3 O 1.39
B: 0.5000 0.9700 0.0300  3 O 1.38-1.40
B: 0.9700 0.0300 0.5000  3 O 1.38-1.40
Pb: 0.0000 0.5279 0.4721  6 O 2.39
Pb: 0.4721 0.0000 0.5279  6 O 2.39
Pb: 0.5279 0.4721 0.0000  6 O 2.39
O: 0.0186 0.6306 0.8372  1 B 1.38
O: 0.1038 0.8962 0.5000  1 B 1.40
O: 0.1628 0.3694 0.9814  1 B 1.38
O: 0.3673 0.6327 0.5000  1 B 1.39
O: 0.3694 0.9814 0.1628  1 B 1.38
O: 0.5000 0.1038 0.8962  1 B 1.40
O: 0.5000 0.3673 0.6327  1 B 1.39
O: 0.6306 0.8372 0.0186  1 B 1.38
O: 0.6327 0.5000 0.3673  1 B 1.39
O: 0.8372 0.0186 0.6306  1 B 1.38
O: 0.8962 0.5000 0.1038  1 B 1.40
O: 0.9814 0.1628 0.3694  1 B 1.38

---

This record from Alexandria describes crystalline AcB2PbO6 at its relaxed geometry. The functional is PBE.

As for the uncorrected formation energy: -2362 meV/atom. As for the spin magnetization: 0.00 Bohr magnetons per cell. The total DFT energy (no corrections) comes out at -0.2739 hartree per atom. Its density is 6.4 g/cm3.

Unit cell a=6.7441 b=6.7441 c=6.7032 alpha=102.27 beta=102.27 gamma=96.05
Last column: nearest neighbours and their distance in Å.
Positions (direct):
Ac: 0.1273 0.8727 0.7500  6 O 2.52-2.58
Ac: 0.8727 0.1273 0.2500  6 O 2.52-2.58
B: 0.0891 0.3938 0.7501  3 O 1.36-1.42
B: 0.3938 0.0891 0.2501  3 O 1.36-1.42
B: 0.6062 0.9109 0.7499  3 O 1.36-1.42
B: 0.9109 0.6062 0.2499  3 O 1.36-1.42
Pb: 0.4105 0.5895 0.2500  6 O 2.39-2.43
Pb: 0.5895 0.4105 0.7500  6 O 2.39-2.43
O: 0.0568 0.1958 0.6357  1 B 1.36
O: 0.0632 0.4831 0.2583  1 B 1.39
O: 0.1958 0.0568 0.1357  1 B 1.36
O: 0.2866 0.4963 0.8689  1 B 1.42
O: 0.4831 0.0632 0.7583  1 B 1.39
O: 0.4963 0.2866 0.3689  1 B 1.42
O: 0.5037 0.7134 0.6311  1 B 1.42
O: 0.5169 0.9368 0.2417  1 B 1.39
O: 0.7134 0.5037 0.1311  1 B 1.42
O: 0.8042 0.9432 0.8643  1 B 1.36
O: 0.9368 0.5169 0.7417  1 B 1.39
O: 0.9432 0.8042 0.3643  1 B 1.36